# Ho4InPdRu2

A relaxed structure of Ho4InPdRu2 (GGA-PBE, Alexandria).

Unit cell a=8.5756 b=8.5756 c=8.5756 alpha=33.54 beta=33.54 gamma=33.54
Fractional positions:
1 Ho 0.1197 0.1197 0.1197
2 Ho 0.3708 0.3708 0.3708
3 Ho 0.6292 0.6292 0.6292
4 Ho 0.8803 0.8803 0.8803
5 In 0.5000 0.5000 0.5000
6 Pd 0.0000 0.0000 0.0000
7 Ru 0.2485 0.2485 0.2485
8 Ru 0.7515 0.7515 0.7515

Summary:
Crystal system = trigonal
Formation energy = -0.51 eV/atom
Total magnetization = 0.0 μB/cell
E = -48.8 eV for the cell shown

# Sr2AgGePd6

A relaxed structure of Sr2AgGePd6 (GGA-PBE, Alexandria).

Unit cell a=5.5560 b=6.6108 c=7.0477 alpha=81.75 beta=66.96 gamma=65.36
Fractional positions:
1 Sr 0.0297 0.2356 0.2055
2 Sr 0.9703 0.7644 0.7945
3 Ag 0.5000 0.5000 0.0000
4 Ge 0.5000 0.0000 0.5000
5 Pd 0.0157 0.2306 0.7284
6 Pd 0.3458 0.4110 0.4137
7 Pd 0.4794 0.7748 0.2636
8 Pd 0.5206 0.2252 0.7364
9 Pd 0.6542 0.5890 0.5863
10 Pd 0.9843 0.7694 0.2716

Summary:
Crystal system = triclinic
Formation energy = -0.46 eV/atom
Total magnetization = 0.0 μB/cell
E = -46.6 eV for the cell shown

# La5DySc2

A relaxed structure of La5DySc2 (GGA-PBE, Alexandria).

Unit cell a=6.5483 b=6.5483 c=16.5600 alpha=90.00 beta=90.00 gamma=130.80
Fractional positions:
1 La 0.0187 0.9813 0.7500
2 La 0.1464 0.8536 0.0366
3 La 0.1464 0.8536 0.4634
4 La 0.4550 0.5450 0.1018
5 La 0.4550 0.5450 0.3982
6 La 0.5450 0.4550 0.6018
7 La 0.5450 0.4550 0.8982
8 La 0.8536 0.1464 0.5366
9 La 0.8536 0.1464 0.9634
10 La 0.9813 0.0187 0.2500
11 Dy 0.2579 0.7421 0.2500
12 Dy 0.7421 0.2579 0.7500
13 Sc 0.2686 0.7314 0.6507
14 Sc 0.2686 0.7314 0.8493
15 Sc 0.7314 0.2686 0.1507
16 Sc 0.7314 0.2686 0.3493

Summary:
Crystal system = orthorhombic
Formation energy = 0.12 eV/atom
Total magnetization = 0.0 μB/cell
E = -81.9 eV for the cell shown

# Tl7In5

A relaxed structure of Tl7In5 (GGA-PBE, Alexandria).

Unit cell a=3.4852 b=10.8678 c=9.2549 alpha=90.00 beta=90.00 gamma=90.00
Fractional positions:
1 Tl 0.0000 0.0000 0.0000
2 Tl 0.0000 0.0000 0.4478
3 Tl 0.0000 0.3375 0.4838
4 Tl 0.0000 0.6625 0.4838
5 Tl 0.5000 0.1595 0.7298
6 Tl 0.5000 0.5000 0.2167
7 Tl 0.5000 0.8405 0.7298
8 In 0.0000 0.3340 0.9681
9 In 0.0000 0.6660 0.9681
10 In 0.5000 0.1868 0.2206
11 In 0.5000 0.5000 0.7386
12 In 0.5000 0.8132 0.2206

Summary:
Crystal system = orthorhombic
Distance to the lowest polymorph of the same formula = 0.0 kJ per mole of atoms
Formation energy = 0.01 eV/atom
Total magnetization = 0.0 μB/cell
E = -30.1 eV for the cell shown

# PmPrSn2

A relaxed structure of PmPrSn2 (GGA-PBE, Alexandria).

Unit cell a=4.4002 b=4.6745 c=11.7645 alpha=90.00 beta=90.00 gamma=90.00
Fractional positions:
1 Pm 0.0000 0.0000 0.0000
2 Pm 0.0000 0.5000 0.5000
3 Pr 0.5000 0.0000 0.7286
4 Pr 0.5000 0.5000 0.2286
5 Sn 0.0000 0.0000 0.2755
6 Sn 0.0000 0.5000 0.7755
7 Sn 0.5000 0.0000 0.4540
8 Sn 0.5000 0.5000 0.9540

Summary:
Crystal system = orthorhombic
Formation energy = -0.79 eV/atom
Total magnetization = 0.0 μB/cell
E = -41.4 eV for the cell shown

# Pu2TlI

A relaxed structure of Pu2TlI (GGA-PBE, Alexandria).

Unit cell a=3.5889 b=3.5889 c=8.7767 alpha=90.00 beta=90.00 gamma=90.00
Fractional positions:
1 Pu 0.0000 0.0000 0.2504
2 Pu 0.0000 0.0000 0.7496
3 Tl 0.5000 0.5000 0.0000
4 I 0.5000 0.5000 0.5000

Summary:
Uncorrected formation energy = -0.24 eV/atom
Crystal system = tetragonal
Distance to the lowest polymorph of the same formula = 0.0 kJ per mole of atoms
Total magnetization = 12.3 μB/cell
E = -33.5 eV for the cell shown

Question: Look up the E of the second one.
Answer: -46.6 eV for the cell shown

Copy entry 3 word for word.
# La5DySc2

A relaxed structure of La5DySc2 (GGA-PBE, Alexandria).

Unit cell a=6.5483 b=6.5483 c=16.5600 alpha=90.00 beta=90.00 gamma=130.80
Fractional positions:
1 La 0.0187 0.9813 0.7500
2 La 0.1464 0.8536 0.0366
3 La 0.1464 0.8536 0.4634
4 La 0.4550 0.5450 0.1018
5 La 0.4550 0.5450 0.3982
6 La 0.5450 0.4550 0.6018
7 La 0.5450 0.4550 0.8982
8 La 0.8536 0.1464 0.5366
9 La 0.8536 0.1464 0.9634
10 La 0.9813 0.0187 0.2500
11 Dy 0.2579 0.7421 0.2500
12 Dy 0.7421 0.2579 0.7500
13 Sc 0.2686 0.7314 0.6507
14 Sc 0.2686 0.7314 0.8493
15 Sc 0.7314 0.2686 0.1507
16 Sc 0.7314 0.2686 0.3493

Summary:
Crystal system = orthorhombic
Formation energy = 0.12 eV/atom
Total magnetization = 0.0 μB/cell
E = -81.9 eV for the cell shown

Repeat the second record exactly.
# Sr2AgGePd6

A relaxed structure of Sr2AgGePd6 (GGA-PBE, Alexandria).

Unit cell a=5.5560 b=6.6108 c=7.0477 alpha=81.75 beta=66.96 gamma=65.36
Fractional positions:
1 Sr 0.0297 0.2356 0.2055
2 Sr 0.9703 0.7644 0.7945
3 Ag 0.5000 0.5000 0.0000
4 Ge 0.5000 0.0000 0.5000
5 Pd 0.0157 0.2306 0.7284
6 Pd 0.3458 0.4110 0.4137
7 Pd 0.4794 0.7748 0.2636
8 Pd 0.5206 0.2252 0.7364
9 Pd 0.6542 0.5890 0.5863
10 Pd 0.9843 0.7694 0.2716

Summary:
Crystal system = triclinic
Formation energy = -0.46 eV/atom
Total magnetization = 0.0 μB/cell
E = -46.6 eV for the cell shown